Compound: BaMnCO3F2
Source: Alexandria
Functional: PBE+U
Structure: relaxed

```
16
Lattice="4.9749 0.0000 0.0000 -2.4875 4.3084 0.0000 0.0000 0.0000 10.1430" Properties=species:S:1:pos:R:3 pbc="T T T"
Ba 0.0000 0.0000 0.0000
Ba 0.0000 0.0000 5.0715
Mn 0.0000 2.8723 2.5357
Mn 2.4875 1.4361 7.6072
C 0.0000 2.8723 7.6072
C 2.4875 1.4361 2.5357
O -0.2984 1.6106 7.6072
O -0.9434 3.7616 7.6072
O 1.2456 1.0638 2.5357
O 1.2418 3.2446 7.6072
O 3.4309 0.5469 2.5357
O 2.7859 2.6978 2.5357
F 0.0000 2.8723 0.4562
F 0.0000 2.8723 4.6153
F 2.4875 1.4361 5.5277
F 2.4875 1.4361 9.6868
```

Results
* total moment: 10.00 Bohr magnetons per cell
* electronic total energy: -113.325 eV/cell